# 1
Below is crystalline Na2InPb at its relaxed geometry, with properties calculated at the PBE level.

Properties
The value obtained for the energy above the most stable polymorph in this dataset is 0 meV/atom.

a = 5.4434 Å, b = 5.4434 Å, c = 5.4021 Å
α = 89.29°, β = 119.13°, γ = 121.95°
Element x y z (fractional)
Na (0.6242, 0.0653, 0.6894)
Na (0.1252, 0.8111, 0.9363)
In (0.6268, 0.5581, 0.1849)
Pb (0.1238, 0.3155, 0.4393)


# 2
Below is crystalline Na3In8Pb3 at its relaxed geometry, with properties calculated at the PBE level.

a = 4.9524 Å, b = 9.5877 Å, c = 9.5877 Å
α = 76.01°, β = 75.03°, γ = 75.03°
Element x y z (fractional)
In (0.3435, 0.3829, 0.9300)
In (0.8471, 0.5316, 0.7741)
In (0.1529, 0.2259, 0.4684)
In (0.6565, 0.6171, 0.0700)
In (0.3435, 0.9300, 0.3829)
In (0.6565, 0.0700, 0.6171)
In (0.1529, 0.4684, 0.2259)
In (0.8471, 0.7741, 0.5316)
Na (0.7976, 0.2024, 0.2024)
Na (0.2024, 0.7976, 0.7976)
Na (0.5000, 0.5000, 0.5000)
Pb (0.5000, 0.0000, 0.0000)
Pb (0.0000, 0.1886, 0.8114)
Pb (0.0000, 0.8114, 0.1886)


# 3
Below is crystalline NaIn4Pb2 at its relaxed geometry, with properties calculated at the PBE level.

Properties
The value obtained for the energy above the most stable polymorph in this dataset is 9 meV/atom.

a = 8.4687 Å, b = 8.4688 Å, c = 5.9098 Å
α = 125.84°, β = 125.83°, γ = 95.23°
Element x y z (fractional)
In (0.7028, 0.2972, 0.0000)
In (0.3820, 0.3821, 0.0801)
In (0.2972, 0.7028, 0.0000)
In (0.6180, 0.6180, 0.9199)
Pb (0.1896, 0.8104, 0.5000)
Pb (0.8104, 0.1896, 0.5000)
Na (0.0000, 0.0000, 0.0000)


# 4
Below is crystalline Na4In4Pb3 at its relaxed geometry, with properties calculated at the PBE level.

a = 3.4929 Å, b = 4.6854 Å, c = 18.9856 Å
α = 97.08°, β = 95.34°, γ = 90.00°
Element x y z (fractional)
Na (0.1817, 0.1825, 0.3649)
Na (0.5453, 0.5441, 0.0901)
Na (0.8182, 0.8175, 0.6351)
Na (0.4547, 0.4560, 0.9099)
In (0.7295, 0.7294, 0.4587)
In (0.0919, 0.0896, 0.1819)
In (0.2704, 0.2706, 0.5413)
In (0.9081, 0.9105, 0.8181)
Pb (0.0000, 0.0000, 0.0000)
Pb (0.6338, 0.6338, 0.2687)
Pb (0.3662, 0.3662, 0.7312)


In the order shown, the computed DFT formation energy values come out to -0.1179, -0.0600, -0.0004, -0.1077 eV/atom.
In the order shown, the computed D(E_F) values come out to 1.95, 4.11, 3.47, 4.91 states/eV per cell.
In the order shown, the computed E values come out to -2.389, -2.702, -2.813, -2.594 eV per atom.